(1)
A crystal of RbSrBeZn2 relaxed with PBEsol. Source: the Alexandria database, functional SCAN.

As for the energy of formation: 1.442 eV/atom. For the spin magnetization, the calculation gives 0.000 Bohr magnetons per cell. As for the space group: P4/mmm.

a = 5.681 Å, b = 5.681 Å, c = 6.970 Å
α = 90.00°, β = 90.00°, γ = 90.00°
Fractional coordinates of all 5 atoms:
Rb 0.000 0.000 0.000
Sr 0.000 0.000 0.500
Be 0.500 0.500 0.500
Zn 0.000 0.500 0.000
Zn 0.500 0.000 0.000

=====

(2)
A crystal of RbTa3Be relaxed with PBEsol. Source: the Alexandria database, functional SCAN.

As for the energy of formation: 3.572 eV/atom. For the spin magnetization, the calculation gives 0.000 Bohr magnetons per cell. As for the space group: Pm-3m.

a = 4.689 Å, b = 4.689 Å, c = 4.689 Å
α = 90.00°, β = 90.00°, γ = 90.00°
Fractional coordinates of all 5 atoms:
Rb 0.000 0.000 0.000
Ta 0.000 0.000 0.500
Ta 0.000 0.500 0.000
Ta 0.500 0.000 0.000
Be 0.500 0.500 0.500

=====

Which value of spin magnetization does entry 2 give? 0.000 Bohr magnetons per cell